BaSiSb2 GGA-PBE relaxed; symmetry = F-43m; energy relative to the elements, uncorrected = 0.073 eV per atom
1.0
5.527 0.000 0.000
2.763 4.787 0.000
2.763 1.596 4.513
Si Ba Sb
1 1 2
Direct
0.750 0.750 0.750
0.500 0.500 0.500
0.000 0.000 0.000
0.250 0.250 0.250

Tl2BiPd GGA-PBE relaxed; symmetry = P4/mmm; energy relative to the lowest polymorph listed for this composition = 0.000 eV/atom; energy of formation = 4 meV/atom
1.0
-3.075 0.846 -1.141
0.053 -2.650 -2.109
-3.724 -5.069 6.276
Tl Pd Bi
2 1 1
Direct
0.000 0.000 0.201
0.000 0.000 0.799
0.500 0.500 0.000
0.500 0.500 0.500

SmZn6 GGA-PBE relaxed; symmetry = Pnma; energy of formation = -225 meV/atom
1.0
5.217 0.000 0.000
0.000 8.648 0.000
0.000 0.000 10.606
Zn Sm
24 4
Direct
0.988 0.062 0.693
0.250 0.916 0.520
0.250 0.053 0.908
0.250 0.640 0.355
0.250 0.140 0.145
0.250 0.802 0.751
0.988 0.562 0.807
0.750 0.360 0.645
0.750 0.860 0.855
0.750 0.584 0.020
0.750 0.447 0.408
0.250 0.416 0.980
0.250 0.553 0.592
0.488 0.438 0.193
0.750 0.947 0.092
0.250 0.302 0.749
0.750 0.698 0.251
0.512 0.062 0.693
0.012 0.938 0.307
0.512 0.562 0.807
0.012 0.438 0.193
0.750 0.084 0.480
0.488 0.938 0.307
0.750 0.198 0.249
0.250 0.762 0.059
0.750 0.738 0.559
0.750 0.238 0.941
0.250 0.262 0.441

Tm8Bi2Os GGA-PBE relaxed; symmetry = C2/m; energy of formation = -314 meV/atom
1.0
4.981 0.000 0.000
0.000 6.636 0.004
-2.490 -2.810 9.284
Tm Bi Os
8 2 1
Direct
0.587 0.455 0.174
0.019 0.790 0.039
0.981 0.210 0.961
0.642 0.018 0.284
0.218 0.334 0.436
0.782 0.666 0.564
0.413 0.545 0.826
0.358 0.982 0.716
0.819 0.230 0.637
0.181 0.770 0.363
0.500 0.000 0.000

LiEuPdPb GGA-PBE relaxed; symmetry = F-43m; energy of formation = -486 meV/atom
1.0
-4.132 2.586 1.033
-2.454 -0.821 4.258
0.049 3.438 3.606
Eu Li Pb Pd
1 1 1 1
Direct
0.750 0.750 0.750
0.000 0.000 0.000
0.250 0.250 0.250
0.500 0.500 0.500

NaIn3Cu GGA-PBE relaxed; symmetry = P2_1/m; energy relative to the lowest polymorph listed for this composition = 0.000 eV/atom; energy of formation = -52 meV/atom
1.0
4.409 0.000 0.000
0.000 7.089 1.923
0.000 0.325 7.773
Cu In Na
2 6 2
Direct
0.381 0.801 0.663
0.882 0.874 0.143
0.881 0.689 0.887
0.381 0.986 0.919
0.381 0.413 0.740
0.381 0.005 0.313
0.881 0.670 0.493
0.881 0.262 0.066
0.881 0.147 0.570
0.381 0.527 0.236

Copy entry 1 word for word.
BaSiSb2 GGA-PBE relaxed; symmetry = F-43m; energy relative to the elements, uncorrected = 0.073 eV per atom
1.0
5.527 0.000 0.000
2.763 4.787 0.000
2.763 1.596 4.513
Si Ba Sb
1 1 2
Direct
0.750 0.750 0.750
0.500 0.500 0.500
0.000 0.000 0.000
0.250 0.250 0.250